# 1
RuWSe | GGA-PBE | optimized geometry

```
RuWSe
1.0
-3.767 0.804 6.012
-4.824 -1.497 4.703
1.780 -0.587 2.148
Ru Se W
1 1 1
direct
0.012 0.012 0.988
0.329 0.329 0.671
0.660 0.660 0.340
```

Output
Its uncorrected formation energy is 54 kJ/mol of atoms. As for the excess energy over the best structure of this formula in the dataset: 1.20 eV per formula unit. The space group is Fmm2.

=====

# 2
LiTm2MgTe4 | GGA-PBE | optimized geometry

```
LiTm2MgTe4
1.0
-3.126 2.545 1.295
1.550 -1.639 6.968
4.067 6.031 -2.036
Li Tm Mg Te
1 2 1 4
direct
0.000 0.000 0.000
0.500 0.000 0.500
0.000 0.500 0.500
0.500 0.500 0.000
0.500 0.249 0.243
0.500 0.751 0.757
0.000 0.253 0.759
0.000 0.747 0.241
```

Output
Its uncorrected formation energy is -109 kJ/mol of atoms. The space group is P2/m.

=====

# 3
ReRuF3 | GGA-PBE | optimized geometry

```
ReRuF3
1.0
-3.533 0.223 2.434
2.056 -2.041 3.172
1.321 3.774 1.572
Re F Ru
1 3 1
direct
0.500 0.500 0.500
0.000 0.500 0.000
0.000 0.000 0.500
0.500 0.000 0.000
0.000 0.000 0.000
```

Output
Its uncorrected formation energy is 24 kJ/mol of atoms. As for the excess energy over the best structure of this formula in the dataset: 0.00 eV per formula unit. The space group is Pm-3m.

=====

# 4
Nd6HoTmSc2 | GGA-PBE | optimized geometry

```
Nd6HoTmSc2
1.0
9.460 -2.556 -2.279
0.123 8.218 -2.108
0.751 -2.377 8.617
Nd Ho Tm Sc
12 2 2 4
direct
0.008 0.157 0.750
0.393 0.244 0.860
0.992 0.843 0.250
0.607 0.756 0.140
0.361 0.997 0.387
0.235 0.613 0.005
0.639 0.003 0.613
0.765 0.387 0.995
0.162 0.782 0.592
0.406 0.543 0.341
0.838 0.218 0.408
0.594 0.457 0.659
0.203 0.365 0.548
0.797 0.635 0.452
0.193 0.046 0.056
0.807 0.954 0.944
0.440 0.821 0.820
0.042 0.411 0.214
0.560 0.179 0.180
0.958 0.589 0.786
```

Output
The space group is P-1. As for the formation energy: 0.6 eV per formula unit.

=====

# 5
PmDy2Tl9 | GGA-PBE | optimized geometry

```
PmDy2Tl9
1.0
4.784 0.000 0.000
0.000 4.784 0.000
0.000 0.000 14.354
Pm Dy Tl
1 2 9
direct
0.000 0.000 0.000
0.000 0.000 0.334
0.000 0.000 0.666
0.500 0.500 0.000
0.500 0.500 0.334
0.500 0.500 0.666
0.500 0.000 0.169
0.500 0.000 0.500
0.500 0.000 0.831
0.000 0.500 0.169
0.000 0.500 0.500
0.000 0.500 0.831
```

Output
The space group is P4/mmm. As for the formation energy: -3.1 eV per formula unit.

=====

# 6
ScMnRe2 | GGA-PBE | optimized geometry

```
ScMnRe2
1.0
-1.667 2.208 0.040
-0.734 -0.611 2.597
5.958 4.449 2.732
Mn Re Sc
1 2 1
direct
0.500 0.500 0.750
0.000 0.000 0.963
0.000 0.000 0.537
0.500 0.500 0.250
```

Output
As for the excess energy over the best structure of this formula in the dataset: 0.59 eV per formula unit. The space group is Cmmm. As for the formation energy: 0.4 eV per formula unit.

=====

# 7
Nd4Dy15Tm | GGA-PBE | optimized geometry

```
Nd4Dy15Tm
1.0
5.049 0.000 0.000
0.000 5.049 0.000
0.000 0.000 25.168
Nd Dy Tm
4 15 1
direct
0.000 0.000 0.199
0.000 0.000 0.400
0.000 0.000 0.600
0.000 0.000 0.801
0.500 0.500 0.000
0.500 0.500 0.199
0.500 0.500 0.400
0.500 0.500 0.600
0.500 0.500 0.801
0.500 0.000 0.098
0.500 0.000 0.299
0.500 0.000 0.500
0.500 0.000 0.701
0.500 0.000 0.902
0.000 0.500 0.098
0.000 0.500 0.299
0.000 0.500 0.500
0.000 0.500 0.701
0.000 0.500 0.902
0.000 0.000 0.000
```

Output
The space group is P4/mmm. As for the formation energy: 0.4 eV per formula unit.

=====

# 8
CdPdPt4 | GGA-PBE | optimized geometry

```
CdPdPt4
1.0
-2.598 2.790 -1.947
-5.631 -5.211 0.046
-0.748 0.869 6.948
Cd Pd Pt
2 2 8
direct
0.156 0.750 0.312
0.844 0.250 0.688
0.358 0.750 0.717
0.642 0.250 0.283
0.218 0.418 0.436
0.782 0.582 0.564
0.218 0.082 0.436
0.782 0.918 0.564
0.543 0.750 0.085
0.457 0.250 0.915
0.000 0.500 0.000
0.000 0.000 0.000
```

Output
As for the excess energy over the best structure of this formula in the dataset: 2.53 eV per formula unit. The space group is Cmcm. As for the formation energy: 2.0 eV per formula unit.

=====

| no. | volume (A^3/atom) | E_tot (eV per cell) |
| --- | --- | --- |
| 1 | 16.6 | -24.023 |
| 2 | 27.7 | -34.026 |
| 3 | 15.9 | -26.088 |
| 4 | 32.2 | -99.521 |
| 5 | 27.4 | -38.361 |
| 6 | 15.2 | -40.016 |
| 7 | 32.1 | -92.184 |
| 8 | 18.4 | -56.489 |